AlAg2I6: optimized geometry, PBE.

a b c (Å): 7.895 11.038 11.038
angles (deg): 83.25 69.17 69.17
Element x y z (fractional)
1 I 0.362 0.438 0.750
2 Ag 0.030 0.677 0.813
3 Ag 0.970 0.323 0.187
4 Al 0.250 0.245 0.755
5 I 0.193 0.842 0.642
6 I 0.452 0.950 0.242
7 I 0.138 0.250 0.562
8 I 0.952 0.242 0.950
9 I 0.862 0.750 0.438
10 Ag 0.470 0.187 0.323
11 Al 0.750 0.755 0.245
12 I 0.638 0.562 0.250
13 I 0.807 0.158 0.358
14 Ag 0.530 0.813 0.677
15 I 0.048 0.758 0.050
16 I 0.693 0.642 0.842
17 I 0.307 0.358 0.158
18 I 0.548 0.050 0.758

Calculated values
Excess energy over the best structure of this formula in the dataset   0 meV/atom
Crystal system   monoclinic
Electronic total energy   -2.4315 eV per atom
Energy relative to the elements, uncorrected   -0.349 eV per atom

Ti4Zn3Cr: optimized geometry, PBE.

a b c (Å): 3.093 3.093 12.714
angles (deg): 90.00 90.00 90.00
Element x y z (fractional)
1 Ti 0.000 0.000 0.111
2 Ti 0.000 0.000 0.629
3 Ti 0.000 0.000 0.371
4 Zn 0.500 0.500 0.243
5 Zn 0.500 0.500 0.757
6 Cr 0.500 0.500 0.000
7 Zn 0.500 0.500 0.500
8 Ti 0.000 0.000 0.889

Calculated values
Formation enthalpy at 0 K   -0.158 eV/atom
Crystal system   tetragonal
Electronic total energy   -5.7865 eV per atom

| no. | spin magnetization (μB per atom) |
| --- | --- |
| 1 | 0.0000 |
| 2 | 0.0000 |